Material: Sr3LaMn4O12
Method: DFT, GGA+U
State: relaxed

Results
The value obtained for the volume is 236 Å³ per cell. The calculated total energy comes out at -0.527 Ry/atom.

Unit cell a=5.4604 b=5.4611 c=7.9286 alpha=90.00 beta=90.06 gamma=90.00
With the nearest neighbours (Å) after each atom.
Positions (direct):
Sr  0.0000  0.9997  0.0000  8 O 2.60-2.74
Sr  0.0000  0.0000  0.5000  8 O 2.57-2.74
Sr  0.5000  0.4998  0.0000  8 O 2.60-2.74
La  0.5000  0.4990  0.5000  8 O 2.51-2.75
Mn  0.9999  0.4998  0.2483  6 O 1.95-2.00
Mn  0.0001  0.4998  0.7517  6 O 1.95-2.00
Mn  0.5001  0.9997  0.2483  6 O 1.95-2.00
Mn  0.4999  0.9997  0.7517  6 O 1.95-2.00
O  0.0000  0.4975  0.5000  2 Mn 2.00
O  0.0000  0.5024  0.0000  2 Mn 1.97
O  0.2161  0.2160  0.7481  2 Mn 1.95
O  0.2164  0.7835  0.2545  2 Mn 1.95
O  0.2905  0.2903  0.2569  2 Mn 1.96
O  0.2904  0.7095  0.7407  2 Mn 1.96
O  0.5000  0.0033  0.5000  2 Mn 2.00
O  0.5000  0.9974  0.0000  2 Mn 1.97
O  0.7095  0.2903  0.7431  2 Mn 1.96
O  0.7096  0.7095  0.2593  2 Mn 1.96
O  0.7839  0.2160  0.2519  2 Mn 1.95
O  0.7836  0.7835  0.7455  2 Mn 1.95